# Be3GeCl

Crystalline Be3GeCl at its relaxed geometry (PBE-GGA, the Alexandria database).

Summary:
Total DFT energy (no corrections)   -2.8854 eV per atom
Formation energy (no corrections)   3.2 eV per formula unit
Offset from the most stable computed form   0.00 kJ/mol of atoms

Lattice parameters (Å, degrees): 4.3657 4.3657 4.3657 90.00 90.00 90.00
With the nearest neighbours (Å) after each atom.
Space group Pm-3m (No. 221)
One atom of each set of equivalent atoms:
Be  0.0000  0.0000  0.5000  2 Ge 2.18
Ge  0.0000  0.0000  0.0000  6 Be 2.18
Cl  0.5000  0.5000  0.5000  12 Be 3.09

# Be2GeCl6

Crystalline Be2GeCl6 at its relaxed geometry (PBE-GGA, the Alexandria database).

Summary:
Total DFT energy (no corrections)   -3.7364 eV per atom
Formation energy (no corrections)   -10.5 eV per formula unit

Lattice parameters (Å, degrees): 12.2941 11.5693 6.1491 90.00 103.19 90.00
With the nearest neighbours (Å) after each atom.
Space group C2/c (No. 15)
One atom of each set of equivalent atoms:
Be  0.2008  0.0764  0.2969  4 Cl 2.01-2.07
Ge  0.0000  0.3624  0.2500  4 Cl 2.46-2.72
Cl  0.1258  0.2221  0.1319  1 Be 2.07
Cl  0.1326  0.4073  0.6595  1 Be 2.01
Cl  0.1470  0.0611  0.5865  2 Be 2.04-2.06

# BeGeCl2

Crystalline BeGeCl2 at its relaxed geometry (PBE-GGA, the Alexandria database).

Summary:
Total DFT energy (no corrections)   -3.1926 eV per atom
Formation energy (no corrections)   -0.7 eV per formula unit
Offset from the most stable computed form   36.87 kJ/mol of atoms

Lattice parameters (Å, degrees): 6.3614 6.3614 9.0465 90.00 90.00 90.00
With the nearest neighbours (Å) after each atom.
Space group I-42d (No. 122)
One atom of each set of equivalent atoms:
Be  0.0000  0.0000  0.0000  4 Cl 2.02
Ge  0.0000  0.0000  0.5000  4 Cl 3.29
Cl  0.0831  0.2500  0.1250  2 Be 2.02

# BeGeCl4

Crystalline BeGeCl4 at its relaxed geometry (PBE-GGA, the Alexandria database).

Summary:
Total DFT energy (no corrections)   -3.6889 eV per atom
Formation energy (no corrections)   -6.4 eV per formula unit

Lattice parameters (Å, degrees): 8.5435 7.9739 9.9720 90.00 90.00 90.00
With the nearest neighbours (Å) after each atom.
Space group Cmcm (No. 63)
One atom of each set of equivalent atoms:
Be  0.0000  0.1285  0.2500  4 Cl 1.99-2.09
Ge  0.0000  0.4780  0.7500  2 Cl 2.41
Cl  0.0000  0.2961  0.0890  1 Be 2.09
Cl  0.1859  0.0217  0.7500  1 Be 1.99

# BeGeCl2

Crystalline BeGeCl2 at its relaxed geometry (PBE-GGA, the Alexandria database).

Summary:
Total DFT energy (no corrections)   -3.5748 eV per atom
Formation energy (no corrections)   -2.3 eV per formula unit
Offset from the most stable computed form   0.00 kJ/mol of atoms

Lattice parameters (Å, degrees): 3.1369 3.1369 35.3868 90.00 90.00 120.00
With the nearest neighbours (Å) after each atom.
Space group R-3m (No. 166, hexagonal axes)
One atom of each set of equivalent atoms:
Be  0.0000  0.0000  0.0000  6 Cl 2.22
Ge  0.0000  0.0000  0.5000  6 Ge 3.14
Cl  0.0000  0.0000  0.3695  3 Be 2.22

# BeInGeCl2

Crystalline BeInGeCl2 at its relaxed geometry (PBE-GGA, the Alexandria database).

Summary:
Total DFT energy (no corrections)   -3.0264 eV per atom
Formation energy (no corrections)   -0.4 eV per formula unit

Lattice parameters (Å, degrees): 5.5439 5.5439 4.2422 90.00 90.00 90.00
With the nearest neighbours (Å) after each atom.
Space group P4/mmm (No. 123)
One atom of each set of equivalent atoms:
Be  0.0000  0.0000  0.0000  2 Ge 2.12
In  0.5000  0.5000  0.0000  8 Cl 3.49
Ge  0.0000  0.0000  0.5000  2 Be 2.12
Cl  0.0000  0.5000  0.5000  2 Ge 2.77

# K2BeGeCl6

Crystalline K2BeGeCl6 at its relaxed geometry (PBE-GGA, the Alexandria database).

Summary:
Total DFT energy (no corrections)   -3.6333 eV per atom
Formation energy (no corrections)   -14.7 eV per formula unit

Lattice parameters (Å, degrees): 7.1341 7.1341 22.6397 90.00 90.00 120.00
With the nearest neighbours (Å) after each atom.
Space group R3 (No. 146, hexagonal axes)
One atom of each set of equivalent atoms:
K  0.0000  0.0000  0.0000  6 Cl 3.21-3.30
K  0.0000  0.0000  0.4982  6 Cl 3.20-3.23
Be  0.0000  0.0000  0.2389  3 Cl 1.93
Ge  0.0000  0.0000  0.7894  3 Cl 2.37
Cl  0.0707  0.7094  0.4033  1 Ge 2.37
Cl  0.0789  0.3827  0.9043  1 Be 1.93

# BeGeNCl2

Crystalline BeGeNCl2 at its relaxed geometry (PBE-GGA, the Alexandria database).

Summary:
Total DFT energy (no corrections)   -3.4062 eV per atom
Formation energy (no corrections)   3.3 eV per formula unit

Lattice parameters (Å, degrees): 5.2275 5.2275 3.4012 90.00 90.00 90.00
With the nearest neighbours (Å) after each atom.
Space group P4/mmm (No. 123)
One atom of each set of equivalent atoms:
Be  0.0000  0.0000  0.0000  8 Cl 3.12, 2 Be 3.40
Ge  0.5000  0.5000  0.5000  2 N 1.70
N  0.5000  0.5000  0.0000  2 Ge 1.70
Cl  0.0000  0.5000  0.5000  2 Ge 2.61

# Na2BeGeCl6

Crystalline Na2BeGeCl6 at its relaxed geometry (PBE-GGA, the Alexandria database).

Summary:
Total DFT energy (no corrections)   -3.5763 eV per atom
Formation energy (no corrections)   -13.7 eV per formula unit

Lattice parameters (Å, degrees): 6.6608 6.6608 20.8291 90.00 90.00 120.00
With the nearest neighbours (Å) after each atom.
Space group R3 (No. 146, hexagonal axes)
One atom of each set of equivalent atoms:
Na  0.0000  0.0000  0.0000  6 Cl 2.85-3.02
Na  0.0000  0.0000  0.4935  6 Cl 2.83-2.95
Be  0.0000  0.0000  0.2458  3 Cl 1.93
Ge  0.0000  0.0000  0.7992  3 Cl 2.39
Cl  0.0070  0.2939  0.2459  1 Be 1.93
Cl  0.0305  0.6837  0.4090  1 Ge 2.39

# Na2BeGeCl

Crystalline Na2BeGeCl at its relaxed geometry (PBE-GGA, the Alexandria database).

Summary:
Total DFT energy (no corrections)   -2.4179 eV per atom
Formation energy (no corrections)   0.7 eV per formula unit

Lattice parameters (Å, degrees): 5.0697 5.0697 4.3553 90.00 90.00 90.00
With the nearest neighbours (Å) after each atom.
Space group P4/mmm (No. 123)
One atom of each set of equivalent atoms:
Na  0.0000  0.5000  0.0000  2 Cl 2.53
Be  0.0000  0.0000  0.5000  2 Cl 2.18
Ge  0.5000  0.5000  0.5000  8 Na 3.34, 4 Be 3.58
Cl  0.0000  0.0000  0.0000  2 Be 2.18

# BeGeP2Cl

Crystalline BeGeP2Cl at its relaxed geometry (PBE-GGA, the Alexandria database).

Summary:
Total DFT energy (no corrections)   -3.1390 eV per atom
Formation energy (no corrections)   5.3 eV per formula unit
Offset from the most stable computed form   59.73 kJ/mol of atoms

Lattice parameters (Å, degrees): 4.7420 4.7420 4.8059 90.00 90.00 90.00
With the nearest neighbours (Å) after each atom.
Space group P4/mmm (No. 123)
One atom of each set of equivalent atoms:
Be  0.0000  0.0000  0.0000  4 Cl 3.35, 8 P 3.38
Ge  0.5000  0.5000  0.5000  4 P 2.37, 2 Cl 2.40
P  0.0000  0.5000  0.5000  2 Ge 2.37
Cl  0.5000  0.5000  0.0000  2 Ge 2.40

# BeGeP2Cl

Crystalline BeGeP2Cl at its relaxed geometry (PBE-GGA, the Alexandria database).

Summary:
Total DFT energy (no corrections)   -3.7580 eV per atom
Formation energy (no corrections)   2.2 eV per formula unit
Offset from the most stable computed form   0.00 kJ/mol of atoms

Lattice parameters (Å, degrees): 4.1634 4.1634 5.2963 90.00 90.00 90.00
With the nearest neighbours (Å) after each atom.
Space group P4/mmm (No. 123)
One atom of each set of equivalent atoms:
Be  0.0000  0.0000  0.0000  4 P 2.08
Ge  0.5000  0.5000  0.5000  4 Cl 2.94
P  0.0000  0.5000  0.0000  2 Be 2.08
Cl  0.0000  0.0000  0.5000  2 Be 2.65, 4 Ge 2.94

# Be2GePbCl

Crystalline Be2GePbCl at its relaxed geometry (PBE-GGA, the Alexandria database).

Summary:
Total DFT energy (no corrections)   -2.4948 eV per atom
Formation energy (no corrections)   5.2 eV per formula unit

Lattice parameters (Å, degrees): 4.5335 4.5335 5.9156 90.00 90.00 90.00
With the nearest neighbours (Å) after each atom.
Space group P4/mmm (No. 123)
One atom of each set of equivalent atoms:
Be  0.0000  0.5000  0.0000  2 Cl 2.27
Ge  0.0000  0.0000  0.5000  4 Pb 3.21
Pb  0.5000  0.5000  0.5000  2 Cl 2.96, 4 Ge 3.21
Cl  0.5000  0.5000  0.0000  4 Be 2.27

# Rb2BeGeCl6

Crystalline Rb2BeGeCl6 at its relaxed geometry (PBE-GGA, the Alexandria database).

Summary:
Total DFT energy (no corrections)   -3.6174 eV per atom
Formation energy (no corrections)   -14.8 eV per formula unit
Offset from the most stable computed form   0.00 kJ/mol of atoms

Lattice parameters (Å, degrees): 7.2928 7.2958 8.8029 65.53 89.97 60.03
With the nearest neighbours (Å) after each atom.
Space group P1 (No. 1)
One atom of each set of equivalent atoms:
Rb  0.0000  0.0000  0.0000  6 Cl 3.37-3.47
Rb  0.4994  0.0015  0.4981  6 Cl 3.38-3.40
Be  0.2291  0.5409  0.6893  3 Cl 1.93
Ge  0.7784  0.4430  0.3364  3 Cl 2.37
Cl  0.0029  0.4779  0.6822  1 Be 1.93
Cl  0.0368  0.4711  0.1815  1 Ge 2.37
Cl  0.1589  0.8373  0.6816  1 Be 1.93
Cl  0.4927  0.8560  0.1806  1 Ge 2.37
Cl  0.5181  0.3220  0.6822  1 Be 1.93
Cl  0.6520  0.3121  0.1807  1 Ge 2.37

# Rb2BeGeCl6

Crystalline Rb2BeGeCl6 at its relaxed geometry (PBE-GGA, the Alexandria database).

Summary:
Total DFT energy (no corrections)   -3.4666 eV per atom
Formation energy (no corrections)   -13.3 eV per formula unit
Offset from the most stable computed form   14.55 kJ/mol of atoms

Lattice parameters (Å, degrees): 7.0540 7.0540 10.0738 90.00 90.00 90.00
With the nearest neighbours (Å) after each atom.
Space group I4/mmm (No. 139)
One atom of each set of equivalent atoms:
Rb  0.0000  0.5000  0.2500  12 Cl 3.53-3.55
Be  0.0000  0.0000  0.0000  6 Cl 2.31-2.38
Ge  0.0000  0.0000  0.5000  6 Cl 2.66-2.68
Cl  0.0000  0.0000  0.2358  1 Be 2.38
Cl  0.2318  0.2318  0.0000  1 Be 2.31

# BeGeS2Cl

Crystalline BeGeS2Cl at its relaxed geometry (PBE-GGA, the Alexandria database).

Summary:
Total DFT energy (no corrections)   -3.7170 eV per atom
Formation energy (no corrections)   -0.1 eV per formula unit
Offset from the most stable computed form   0.00 kJ/mol of atoms

Lattice parameters (Å, degrees): 4.3512 4.3512 4.6378 90.00 90.00 90.00
With the nearest neighbours (Å) after each atom.
Space group P4/mmm (No. 123)
One atom of each set of equivalent atoms:
Be  0.0000  0.0000  0.0000  4 S 2.18, 2 Cl 2.32
Ge  0.5000  0.5000  0.5000  4 Cl 3.08, 8 S 3.18
S  0.0000  0.5000  0.0000  2 Be 2.18
Cl  0.0000  0.0000  0.5000  2 Be 2.32

# BeGeSCl2

Crystalline BeGeSCl2 at its relaxed geometry (PBE-GGA, the Alexandria database).

Summary:
Total DFT energy (no corrections)   -2.8786 eV per atom
Formation energy (no corrections)   1.8 eV per formula unit
Offset from the most stable computed form   65.76 kJ/mol of atoms

Lattice parameters (Å, degrees): 4.8767 4.8767 4.8704 90.00 90.00 90.00
With the nearest neighbours (Å) after each atom.
Space group P4/mmm (No. 123)
One atom of each set of equivalent atoms:
Be  0.0000  0.0000  0.0000  8 Cl 3.45, 4 S 3.45
Ge  0.5000  0.5000  0.5000  2 S 2.44, 4 Cl 2.44
S  0.5000  0.5000  0.0000  2 Ge 2.44
Cl  0.0000  0.5000  0.5000  2 Ge 2.44

# BeGeSCl2

Crystalline BeGeSCl2 at its relaxed geometry (PBE-GGA, the Alexandria database).

Summary:
Total DFT energy (no corrections)   -3.5601 eV per atom
Formation energy (no corrections)   -1.6 eV per formula unit
Offset from the most stable computed form   0.00 kJ/mol of atoms

Lattice parameters (Å, degrees): 4.3105 4.3105 4.8910 90.00 90.00 90.00
With the nearest neighbours (Å) after each atom.
Space group P4/mmm (No. 123)
One atom of each set of equivalent atoms:
Be  0.0000  0.0000  0.0000  4 Cl 2.16
Ge  0.5000  0.5000  0.5000  4 S 3.05, 8 Cl 3.26
S  0.0000  0.0000  0.5000  2 Be 2.45
Cl  0.0000  0.5000  0.0000  2 Be 2.16

# BeGeS2Cl

Crystalline BeGeS2Cl at its relaxed geometry (PBE-GGA, the Alexandria database).

Summary:
Total DFT energy (no corrections)   -3.1150 eV per atom
Formation energy (no corrections)   2.9 eV per formula unit
Offset from the most stable computed form   58.08 kJ/mol of atoms

Lattice parameters (Å, degrees): 4.7244 4.7244 4.7730 90.00 90.00 90.00
With the nearest neighbours (Å) after each atom.
Space group P4/mmm (No. 123)
One atom of each set of equivalent atoms:
Be  0.0000  0.0000  0.0000  4 Cl 3.34, 8 S 3.36
Ge  0.5000  0.5000  0.5000  4 S 2.36, 2 Cl 2.39
S  0.0000  0.5000  0.5000  2 Ge 2.36
Cl  0.5000  0.5000  0.0000  2 Ge 2.39

# Be2HCl

Crystalline Be2HCl at its relaxed geometry (PBE-GGA, the Alexandria database).

Summary:
Total DFT energy (no corrections)   -2.8519 eV per atom
Offset from the most stable computed form   0.00 kJ/mol of atoms

Lattice parameters (Å, degrees): 3.9721 3.9721 11.4992 90.00 90.00 90.00
With the nearest neighbours (Å) after each atom.
Space group I-42d (No. 122)
One atom of each set of equivalent atoms:
Be  0.1247  0.2500  0.1250  2 H 1.82
H  0.0000  0.0000  0.0000  4 Be 1.82
Cl  0.0000  0.0000  0.5000  4 Be 2.30

Number 1: magnetic moment 0.000 μB/atom. Number 2: magnetic moment 0.000 μB/atom. Number 3: magnetic moment 0.000 μB/atom. Number 4: magnetic moment 0.000 μB/atom. Number 5: magnetic moment 0.000 μB/atom. Number 6: magnetic moment 0.000 μB/atom. Number 7: magnetic moment 0.000 μB/atom. Number 8: magnetic moment 0.152 μB/atom. Number 9: magnetic moment 0.000 μB/atom. Number 10: magnetic moment 0.000 μB/atom. Number 11: magnetic moment 0.039 μB/atom. Number 12: magnetic moment 0.000 μB/atom. Number 13: magnetic moment 0.000 μB/atom. Number 14: magnetic moment 0.000 μB/atom. Number 15: magnetic moment 0.000 μB/atom. Number 16: magnetic moment 0.000 μB/atom. Number 17: magnetic moment 0.039 μB/atom. Number 18: magnetic moment 0.000 μB/atom. Number 19: magnetic moment 0.000 μB/atom. Number 20: magnetic moment 0.000 μB/atom.